[1]
# CsAg2SbF8

A relaxed structure of CsAg2SbF8 (GGA-PBE, Alexandria via LeMat-Bulk).

Lattice parameters (Å, degrees): 8.584 6.642 8.990 90.00 105.08 90.00
Space group C2/m (No. 12)
Asymmetric unit:
Cs 0.000 0.000 0.000 (multiplicity 2)
Ag 0.071 0.500 0.202 (multiplicity 4)
Sb 0.000 0.000 0.500 (multiplicity 2)
F 0.016 0.202 0.657 (multiplicity 8)
F 0.165 0.500 0.988 (multiplicity 4)
F 0.232 0.000 0.539 (multiplicity 4)

Volume: 494.9 Å³ per cell
Spin magnetization: 0.0 μB/cell
Total energy: -4.098 eV per atom
Mass density: 4.18 Mg/m³
Crystal system: monoclinic
Formation energy without anion corrections: -1.960 eV/atom

---

[2]
# CsAgSb2F

A relaxed structure of CsAgSb2F (GGA-PBE, Alexandria via LeMat-Bulk).

Lattice parameters (Å, degrees): 5.058 5.058 5.648 90.00 90.00 90.00
Space group P4/mmm (No. 123)
Asymmetric unit:
Cs 0.000 0.000 0.000 (multiplicity 1)
Ag 0.500 0.500 0.000 (multiplicity 1)
Sb 0.000 0.500 0.500 (multiplicity 2)
F 0.000 0.000 0.500 (multiplicity 1)

Volume: 144.5 Å³ per cell
Spin magnetization: 0.0 μB/cell
Total energy: -2.958 eV per atom
Mass density: 5.78 Mg/m³
Crystal system: tetragonal
Formation energy without anion corrections: -0.194 eV/atom

---

[3]
# Cs3ScAg2F9

A relaxed structure of Cs3ScAg2F9 (GGA-PBE, Alexandria via LeMat-Bulk).

Lattice parameters (Å, degrees): 6.4077 6.4077 7.8939 90.00 90.00 120.00
Space group P-3m1 (No. 164)
Asymmetric unit:
Cs 0.0000 0.0000 0.0000 (multiplicity 1)
Cs 0.3333 0.6667 0.6809 (multiplicity 2)
Sc 0.0000 0.0000 0.5000 (multiplicity 1)
Ag 0.3333 0.6667 0.1697 (multiplicity 2)
F 0.0000 0.5000 0.0000 (multiplicity 3)
F 0.1514 0.3028 0.3514 (multiplicity 6)

Volume: 280.7 Å³ per cell
Spin magnetization: 1.1 μB/cell
Total energy: -4.681 eV per atom
Mass density: 4.91 Mg/m³
Crystal system: trigonal
Formation energy without anion corrections: -2.585 eV/atom

---

[4]
# Cs2AgSeF6

A relaxed structure of Cs2AgSeF6 (GGA-PBE, Alexandria via LeMat-Bulk).

Lattice parameters (Å, degrees): 6.512 6.512 9.832 90.00 90.00 90.00
Space group I4/mmm (No. 139)
Asymmetric unit:
Cs 0.000 0.500 0.250 (multiplicity 4)
Ag 0.000 0.000 0.000 (multiplicity 2)
Se 0.000 0.000 0.500 (multiplicity 2)
F 0.000 0.000 0.221 (multiplicity 4)
F 0.213 0.213 0.500 (multiplicity 8)

Volume: 416.9 Å³ per cell
Spin magnetization: 2.0 μB/cell
Total energy: -3.858 eV per atom
Mass density: 4.51 Mg/m³
Crystal system: tetragonal
Formation energy without anion corrections: -1.931 eV/atom

---

[5]
# CsSiAg2F6

A relaxed structure of CsSiAg2F6 (GGA-PBE, Alexandria via LeMat-Bulk).

Lattice parameters (Å, degrees): 6.602 7.272 9.272 90.00 121.46 90.00
Space group P2_1/c (No. 14)
Asymmetric unit:
Cs 0.000 0.000 0.000 (multiplicity 2)
Si 0.500 0.000 0.500 (multiplicity 2)
Ag 0.389 0.005 0.828 (multiplicity 4)
F 0.286 0.155 0.365 (multiplicity 4)
F 0.297 0.597 0.041 (multiplicity 4)
F 0.412 0.648 0.831 (multiplicity 4)

Volume: 379.7 Å³ per cell
Spin magnetization: 0.0 μB/cell
Total energy: -4.524 eV per atom
Mass density: 4.29 Mg/m³
Crystal system: monoclinic
Formation energy without anion corrections: -2.203 eV/atom

---

[6]
# Cs2SiAgF6

A relaxed structure of Cs2SiAgF6 (GGA-PBE, Alexandria via LeMat-Bulk).

Lattice parameters (Å, degrees): 9.398 9.398 9.398 90.00 90.00 90.00
Space group Fm-3m (No. 225)
Asymmetric unit:
Cs 0.250 0.250 0.250 (multiplicity 8)
Si 0.000 0.000 0.000 (multiplicity 4)
Ag 0.000 0.000 0.500 (multiplicity 4)
F 0.000 0.000 0.183 (multiplicity 24)

Volume: 830.0 Å³ per cell
Spin magnetization: 4.0 μB/cell
Total energy: -4.694 eV per atom
Mass density: 4.13 Mg/m³
Crystal system: cubic
Formation energy without anion corrections: -2.573 eV/atom

---

[7]
# CsSiAgF6

A relaxed structure of CsSiAgF6 (GGA-PBE, Alexandria via LeMat-Bulk).

Lattice parameters (Å, degrees): 5.910 10.265 5.827 90.00 90.00 90.00
Space group C2 (No. 5)
Asymmetric unit:
Cs 0.000 0.000 0.000 (multiplicity 2)
Si 0.000 0.335 0.500 (multiplicity 2)
Ag 0.000 0.667 0.500 (multiplicity 2)
F 0.108 0.456 0.675 (multiplicity 4)
F 0.116 0.218 0.675 (multiplicity 4)
F 0.245 0.334 0.338 (multiplicity 4)

Volume: 353.5 Å³ per cell
Spin magnetization: 0.2 μB/cell
Total energy: -4.956 eV per atom
Mass density: 3.60 Mg/m³
Crystal system: monoclinic
Formation energy without anion corrections: -2.695 eV/atom

---

[8]
# Cs2SmAgF6

A relaxed structure of Cs2SmAgF6 (GGA-PBE, Alexandria via LeMat-Bulk).

Lattice parameters (Å, degrees): 9.492 9.492 9.492 90.00 90.00 90.00
Space group Fm-3m (No. 225)
Asymmetric unit:
Cs 0.250 0.250 0.250 (multiplicity 8)
Sm 0.000 0.000 0.000 (multiplicity 4)
Ag 0.000 0.000 0.500 (multiplicity 4)
F 0.000 0.000 0.237 (multiplicity 24)

Volume: 855.3 Å³ per cell
Spin magnetization: 0.0 μB/cell
Total energy: -4.991 eV per atom
Mass density: 4.96 Mg/m³
Crystal system: cubic
Formation energy without anion corrections: -2.941 eV/atom

---

[9]
# CsAgSnF6

A relaxed structure of CsAgSnF6 (GGA-PBE, Alexandria via LeMat-Bulk).

Lattice parameters (Å, degrees): 6.176 10.782 6.040 90.00 90.22 90.00
Space group C2 (No. 5)
Asymmetric unit:
Cs 0.000 0.000 0.000 (multiplicity 2)
Ag 0.000 0.335 0.500 (multiplicity 2)
Sn 0.000 0.666 0.500 (multiplicity 2)
F 0.119 0.530 0.309 (multiplicity 4)
F 0.142 0.795 0.309 (multiplicity 4)
F 0.229 0.174 0.314 (multiplicity 4)

Volume: 402.2 Å³ per cell
Spin magnetization: 0.3 μB/cell
Total energy: -4.432 eV per atom
Mass density: 3.91 Mg/m³
Crystal system: monoclinic
Formation energy without anion corrections: -2.328 eV/atom

---

[10]
# Cs2AgSnF6

A relaxed structure of Cs2AgSnF6 (GGA-PBE, Alexandria via LeMat-Bulk).

Lattice parameters (Å, degrees): 6.581 6.581 9.342 90.00 90.00 90.00
Space group I4/mmm (No. 139)
Asymmetric unit:
Cs 0.000 0.500 0.250 (multiplicity 4)
Ag 0.000 0.000 0.000 (multiplicity 2)
Sn 0.000 0.000 0.500 (multiplicity 2)
F 0.000 0.000 0.267 (multiplicity 4)
F 0.234 0.234 0.500 (multiplicity 8)

Volume: 404.6 Å³ per cell
Spin magnetization: 0.0 μB/cell
Total energy: -4.273 eV per atom
Mass density: 4.98 Mg/m³
Crystal system: tetragonal
Formation energy without anion corrections: -2.294 eV/atom

---

[11]
# Cs4SrAg3F12

A relaxed structure of Cs4SrAg3F12 (GGA-PBE, Alexandria via LeMat-Bulk).

Lattice parameters (Å, degrees): 9.175 9.175 9.175 90.00 90.00 90.00
Space group Im-3m (No. 229)
Asymmetric unit:
Cs 0.250 0.250 0.250 (multiplicity 8)
Sr 0.000 0.000 0.000 (multiplicity 2)
Ag 0.000 0.000 0.500 (multiplicity 6)
F 0.000 0.000 0.259 (multiplicity 12)
F 0.000 0.250 0.500 (multiplicity 12)

Volume: 772.3 Å³ per cell
Spin magnetization: 2.7 μB/cell
Total energy: -4.042 eV per atom
Mass density: 5.03 Mg/m³
Crystal system: cubic
Formation energy without anion corrections: -2.237 eV/atom

---

[12]
# CsSr2AgF8

A relaxed structure of CsSr2AgF8 (GGA-PBE, Alexandria via LeMat-Bulk).

Lattice parameters (Å, degrees): 4.517 8.162 5.877 90.00 99.75 90.00
Space group P2/m (No. 10)
Asymmetric unit:
Cs 0.000 0.000 0.000 (multiplicity 1)
Sr 0.500 0.255 0.500 (multiplicity 2)
Ag 0.000 0.500 0.000 (multiplicity 1)
F 0.045 0.310 0.747 (multiplicity 4)
F 0.425 0.500 0.226 (multiplicity 2)
F 0.428 0.000 0.702 (multiplicity 2)

Volume: 213.5 Å³ per cell
Spin magnetization: 2.0 μB/cell
Total energy: -4.528 eV per atom
Mass density: 4.42 Mg/m³
Crystal system: monoclinic
Formation energy without anion corrections: -2.692 eV/atom

---

[13]
# Cs2SrAg2F6

A relaxed structure of Cs2SrAg2F6 (GGA-PBE, Alexandria via LeMat-Bulk).

Lattice parameters (Å, degrees): 12.276 6.663 7.152 90.00 120.16 90.00
Space group C2/m (No. 12)
Asymmetric unit:
Cs 0.225 0.000 0.178 (multiplicity 4)
Sr 0.000 0.000 0.500 (multiplicity 2)
Ag 0.071 0.500 0.233 (multiplicity 4)
F 0.058 0.246 0.788 (multiplicity 8)
F 0.222 0.000 0.608 (multiplicity 4)

Volume: 505.8 Å³ per cell
Spin magnetization: 0.0 μB/cell
Total energy: -4.224 eV per atom
Mass density: 4.49 Mg/m³
Crystal system: monoclinic
Formation energy without anion corrections: -2.376 eV/atom

---

[14]
# Cs2SrAgF6

A relaxed structure of Cs2SrAgF6 (GGA-PBE, Alexandria via LeMat-Bulk).

Lattice parameters (Å, degrees): 6.729 6.729 9.072 90.00 90.00 90.00
Space group I4/mmm (No. 139)
Asymmetric unit:
Cs 0.000 0.500 0.250 (multiplicity 4)
Sr 0.000 0.000 0.000 (multiplicity 2)
Ag 0.000 0.000 0.500 (multiplicity 2)
F 0.000 0.000 0.267 (multiplicity 4)
F 0.249 0.249 0.500 (multiplicity 8)

Volume: 410.8 Å³ per cell
Spin magnetization: 2.0 μB/cell
Total energy: -4.355 eV per atom
Mass density: 4.65 Mg/m³
Crystal system: tetragonal
Formation energy without anion corrections: -2.608 eV/atom

---

[15]
# CsTbAgF6

A relaxed structure of CsTbAgF6 (GGA-PBE, Alexandria via LeMat-Bulk).

Lattice parameters (Å, degrees): 7.880 8.379 12.009 90.00 90.00 90.00
Space group Imma (No. 74)
Asymmetric unit:
Cs 0.000 0.250 0.063 (multiplicity 4)
Tb 0.000 0.000 0.500 (multiplicity 4)
Ag 0.250 0.250 0.750 (multiplicity 4)
F 0.000 0.250 0.438 (multiplicity 4)
F 0.000 0.250 0.800 (multiplicity 4)
F 0.211 0.056 0.613 (multiplicity 16)

Volume: 793.0 Å³ per cell
Spin magnetization: 0.0 μB/cell
Total energy: -4.987 eV per atom
Mass density: 4.30 Mg/m³
Crystal system: orthorhombic
Formation energy without anion corrections: -2.814 eV/atom

---

[16]
# Cs3TbAg2F9

A relaxed structure of Cs3TbAg2F9 (GGA-PBE, Alexandria via LeMat-Bulk).

Lattice parameters (Å, degrees): 6.5164 6.5164 8.0777 90.00 90.00 120.00
Space group P-3m1 (No. 164)
Asymmetric unit:
Cs 0.0000 0.0000 0.0000 (multiplicity 1)
Cs 0.3333 0.6667 0.6911 (multiplicity 2)
Tb 0.0000 0.0000 0.5000 (multiplicity 1)
Ag 0.3333 0.6667 0.1633 (multiplicity 2)
F 0.0000 0.5000 0.0000 (multiplicity 3)
F 0.1593 0.3186 0.3424 (multiplicity 6)

Volume: 297.1 Å³ per cell
Spin magnetization: 1.1 μB/cell
Total energy: -4.586 eV per atom
Mass density: 5.28 Mg/m³
Crystal system: trigonal
Formation energy without anion corrections: -2.604 eV/atom

---

[17]
# Cs2TbAgF6

A relaxed structure of Cs2TbAgF6 (GGA-PBE, Alexandria via LeMat-Bulk).

Lattice parameters (Å, degrees): 9.405 9.405 9.405 90.00 90.00 90.00
Space group Fm-3m (No. 225)
Asymmetric unit:
Cs 0.250 0.250 0.250 (multiplicity 8)
Tb 0.000 0.000 0.000 (multiplicity 4)
Ag 0.000 0.000 0.500 (multiplicity 4)
F 0.000 0.000 0.234 (multiplicity 24)

Volume: 832.0 Å³ per cell
Spin magnetization: 0.1 μB/cell
Total energy: -5.018 eV per atom
Mass density: 5.16 Mg/m³
Crystal system: cubic
Formation energy without anion corrections: -2.976 eV/atom

---

[18]
# CsTcAgF6

A relaxed structure of CsTcAgF6 (GGA-PBE, Alexandria via LeMat-Bulk).

Lattice parameters (Å, degrees): 6.2127 6.2127 11.6992 90.00 90.00 120.00
Space group P-31c (No. 163)
Asymmetric unit:
Cs 0.0000 0.0000 0.0000 (multiplicity 2)
Tc 0.3333 0.6667 0.2500 (multiplicity 2)
Ag 0.3333 0.6667 0.7500 (multiplicity 2)
F 0.0639 0.4104 0.1556 (multiplicity 12)

Volume: 391.1 Å³ per cell
Spin magnetization: 6.0 μB/cell
Total energy: -4.941 eV per atom
Mass density: 3.85 Mg/m³
Crystal system: trigonal
Formation energy without anion corrections: -2.130 eV/atom

---

[19]
# Cs2TcAgF6

A relaxed structure of Cs2TcAgF6 (GGA-PBE, Alexandria via LeMat-Bulk).

Lattice parameters (Å, degrees): 6.436 6.436 9.111 90.00 90.00 90.00
Space group I4/mmm (No. 139)
Asymmetric unit:
Cs 0.000 0.500 0.250 (multiplicity 4)
Tc 0.000 0.000 0.000 (multiplicity 2)
Ag 0.000 0.000 0.500 (multiplicity 2)
F 0.000 0.000 0.221 (multiplicity 4)
F 0.229 0.229 0.000 (multiplicity 8)

Volume: 377.4 Å³ per cell
Spin magnetization: 4.0 μB/cell
Total energy: -4.714 eV per atom
Mass density: 5.15 Mg/m³
Crystal system: tetragonal
Formation energy without anion corrections: -2.099 eV/atom

---

[20]
# CsAgTeF6

A relaxed structure of CsAgTeF6 (GGA-PBE, Alexandria via LeMat-Bulk).

Lattice parameters (Å, degrees): 5.310 6.526 6.545 119.28 90.28 90.23
Space group P1 (No. 1)
Asymmetric unit:
Cs 0.000 0.000 0.000 (multiplicity 1)
Ag 0.493 0.335 0.672 (multiplicity 1)
Te 0.526 0.668 0.338 (multiplicity 1)
F 0.385 0.348 0.326 (multiplicity 1)
F 0.389 0.677 0.026 (multiplicity 1)
F 0.395 0.978 0.660 (multiplicity 1)
F 0.763 0.453 0.096 (multiplicity 1)
F 0.763 0.634 0.555 (multiplicity 1)
F 0.769 0.913 0.367 (multiplicity 1)

Volume: 197.8 Å³ per cell
Spin magnetization: 0.0 μB/cell
Total energy: -4.087 eV per atom
Mass density: 4.05 Mg/m³
Crystal system: triclinic
Formation energy without anion corrections: -2.079 eV/atom